RbPrMo2O8: optimized geometry, PBE with a Hubbard U.

Cell lengths 6.4605, 6.4605, 9.7399 Å; angles 90.00, 90.00, 90.00 degrees
Last column: nearest neighbours and their distance in Å.
Atoms (fractional coordinates):
Mo 0.5000 0.0000 0.7500  4 O 1.80
Mo 0.0000 0.5000 0.2500  4 O 1.80
Mo 0.5000 0.0000 0.2500  4 O 1.80
Mo 0.0000 0.5000 0.7500  4 O 1.80
O 0.3904 0.1952 0.1400  1 Mo 1.80
O 0.6096 0.8048 0.1400  1 Mo 1.80
O 0.1952 0.6096 0.1400  1 Mo 1.80
O 0.1096 0.6952 0.6400  1 Mo 1.80
O 0.8048 0.3904 0.1400  1 Mo 1.80
O 0.3904 0.8048 0.8600  1 Mo 1.80
O 0.1096 0.3048 0.3600  1 Mo 1.80
O 0.3048 0.8904 0.3600  1 Mo 1.80
O 0.8048 0.6096 0.8600  1 Mo 1.80
O 0.8904 0.3048 0.6400  1 Mo 1.80
O 0.6096 0.1952 0.8600  1 Mo 1.80
O 0.3048 0.1096 0.6400  1 Mo 1.80
O 0.1952 0.3904 0.8600  1 Mo 1.80
O 0.6952 0.1096 0.3600  1 Mo 1.80
O 0.6952 0.8904 0.6400  1 Mo 1.80
O 0.8904 0.6952 0.3600  1 Mo 1.80
Pr 0.5000 0.5000 0.0000  8 O 2.50
Pr 0.0000 0.0000 0.5000  8 O 2.50
Rb 0.0000 0.0000 0.0000  8 O 3.13
Rb 0.5000 0.5000 0.5000  8 O 3.13

- Density of states at the Fermi level: 0.000 states/eV/cell
- Final energy: -170.8 eV per cell
- Spin magnetization: 0.0000 μB/atom
- Space-group type: P4/nnc